<one>
Computed, not measured: crystalline Tb2HfCu at its relaxed geometry at the PBE-GGA level of DFT.

Density = 9.45 Mg/m³
Total magnetic moment = 0.0 μB per formula unit
Space group = R-3m, No. 166

Cell lengths 3.214, 3.214, 11.156 Å; angles 81.72, 81.72, 60.00 degrees
Sites, in units of the cell vectors:
Tb1 0.097 0.097 0.708
Tb2 0.903 0.903 0.292
Cu1 0.500 0.500 0.500
Hf1 0.000 0.000 0.000



<two>
Computed, not measured: crystalline Tb2HfCu at its relaxed geometry at the PBE-GGA level of DFT.

Density = 9.77 Mg/m³
Total magnetic moment = 0.0 μB per formula unit
Space group = P4/mmm, No. 123

Cell lengths 3.386, 3.386, 8.303 Å; angles 90.00, 90.00, 90.00 degrees
Sites, in units of the cell vectors:
Cu1 0.500 0.500 0.000
Tb1 0.000 0.000 0.221
Tb2 0.000 0.000 0.779
Hf1 0.500 0.500 0.500



Best to worst by energy: <two>, <one>.



<one>
Computed, not measured: crystalline HfCuTc3 at its relaxed geometry at the PBE-GGA level of DFT.

Density = 8.41 Mg/m³
Total magnetic moment = 2.6 μB per formula unit
Space group = Pm-3m, No. 221

Cell lengths 4.731, 4.731, 4.731 Å; angles 90.00, 90.00, 90.00 degrees
Sites, in units of the cell vectors:
Tc1 0.000 0.500 0.000
Tc2 0.500 0.000 0.000
Tc3 0.000 0.000 0.500
Hf1 0.000 0.000 0.000
Cu1 0.500 0.500 0.500



<two>
Computed, not measured: crystalline HfCuTc3 at its relaxed geometry at the PBE-GGA level of DFT.

Density = 10.00 Mg/m³
Total magnetic moment = 0.0 μB per formula unit
Space group = Pm-3m, No. 221

Cell lengths 4.465, 4.465, 4.465 Å; angles 90.00, 90.00, 90.00 degrees
Sites, in units of the cell vectors:
Tc1 0.500 0.000 0.000
Tc2 0.000 0.000 0.500
Tc3 0.000 0.500 0.000
Hf1 0.500 0.500 0.500
Cu1 0.000 0.000 0.000



Best to worst by energy: <two>, <one>.



<one>
Computed, not measured: crystalline HfCu2Tc at its relaxed geometry at the PBE-GGA level of DFT.

Density = 11.34 Mg/m³
Total magnetic moment = 0.0 μB per formula unit
Space group = P4/mmm, No. 123

Cell lengths 3.958, 3.865, 3.865 Å; angles 90.00, 90.00, 90.00 degrees
Sites, in units of the cell vectors:
Tc1 0.500 0.500 0.500
Cu1 0.000 0.500 0.000
Cu2 0.000 0.000 0.500
Hf1 0.500 0.000 0.000



<two>
Computed, not measured: crystalline HfCu2Tc at its relaxed geometry at the PBE-GGA level of DFT.

Density = 10.29 Mg/m³
Total magnetic moment = 0.0 μB per formula unit
Space group = I-42d, No. 122

Cell lengths 3.688, 3.688, 9.924 Å; angles 79.29, 79.29, 90.00 degrees
Sites, in units of the cell vectors:
Cu1 0.875 0.854 0.750
Cu2 0.146 0.625 0.250
Cu3 0.604 0.125 0.250
Cu4 0.375 0.396 0.750
Tc1 0.250 0.750 0.500
Tc2 0.500 0.500 0.000
Hf1 0.750 0.250 0.500
Hf2 0.000 0.000 0.000



Best to worst by energy: <one>, <two>.



<one>
Computed, not measured: crystalline Hf2Cu2Tc at its relaxed geometry at the PBE-GGA level of DFT.

Density = 11.76 Mg/m³
Total magnetic moment = 0.0 μB per formula unit
Space group = P4/mbm, No. 127

Cell lengths 6.800, 6.800, 3.555 Å; angles 90.00, 90.00, 90.00 degrees
Sites, in units of the cell vectors:
Hf1 0.186 0.686 0.500
Hf2 0.814 0.314 0.500
Hf3 0.314 0.186 0.500
Hf4 0.686 0.814 0.500
Cu1 0.120 0.380 0.000
Cu2 0.620 0.120 0.000
Cu3 0.880 0.620 0.000
Cu4 0.380 0.880 0.000
Tc1 0.500 0.500 0.000
Tc2 0.000 0.000 0.000



<two>
Computed, not measured: crystalline Hf2Cu2Tc at its relaxed geometry at the PBE-GGA level of DFT.

Density = 11.59 Mg/m³
Total magnetic moment = 0.0 μB per formula unit
Space group = Cmmm, No. 65

Cell lengths 3.307, 3.436, 7.540 Å; angles 76.83, 90.00, 90.00 degrees
Sites, in units of the cell vectors:
Tc1 0.000 0.000 0.000
Hf1 0.500 0.393 0.214
Hf2 0.500 0.607 0.786
Cu1 0.000 0.195 0.611
Cu2 0.000 0.805 0.389



Best to worst by energy: <two>, <one>.



<one>
Computed, not measured: crystalline HfCuTe3 at its relaxed geometry at the PBE-GGA level of DFT.

Density = 6.16 Mg/m³
Total magnetic moment = 0.0 μB per formula unit
Space group = Pm-3m, No. 221

Cell lengths 5.523, 5.523, 5.523 Å; angles 90.00, 90.00, 90.00 degrees
Sites, in units of the cell vectors:
Te1 0.000 0.500 0.000
Te2 0.000 0.000 0.500
Te3 0.500 0.000 0.000
Hf1 0.000 0.000 0.000
Cu1 0.500 0.500 0.500



<two>
Computed, not measured: crystalline HfCuTe3 at its relaxed geometry at the PBE-GGA level of DFT.

Density = 8.12 Mg/m³
Total magnetic moment = 0.0 μB per formula unit
Space group = P2_1/m, No. 11

Cell lengths 3.952, 8.036, 8.065 Å; angles 94.25, 90.00, 90.00 degrees
Sites, in units of the cell vectors:
Te1 0.750 0.303 0.968
Te2 0.750 0.617 0.384
Te3 0.250 0.697 0.032
Te4 0.750 0.116 0.337
Te5 0.250 0.383 0.616
Te6 0.250 0.884 0.663
Cu1 0.750 0.129 0.673
Cu2 0.250 0.871 0.327
Hf1 0.750 0.627 0.765
Hf2 0.250 0.373 0.235



<three>
Computed, not measured: crystalline HfCuTe3 at its relaxed geometry at the PBE-GGA level of DFT.

Density = 8.05 Mg/m³
Total magnetic moment = 0.0 μB per formula unit
Space group = Pm-3m, No. 221

Cell lengths 5.052, 5.052, 5.052 Å; angles 90.00, 90.00, 90.00 degrees
Sites, in units of the cell vectors:
Te1 0.500 0.000 0.000
Te2 0.000 0.500 0.000
Te3 0.000 0.000 0.500
Cu1 0.000 0.000 0.000
Hf1 0.500 0.500 0.500



Best to worst by energy: <two>, <one>, <three>.



<one>
Computed, not measured: crystalline HfThCu2 at its relaxed geometry at the PBE-GGA level of DFT.

Density = 11.25 Mg/m³
Total magnetic moment = 0.0 μB per formula unit
Space group = P4/mmm, No. 123

Cell lengths 3.360, 3.360, 7.030 Å; angles 90.00, 90.00, 90.00 degrees
Sites, in units of the cell vectors:
Cu1 0.000 0.000 0.197
Cu2 0.000 0.000 0.803
Th1 0.500 0.500 0.500
Hf1 0.500 0.500 0.000



<two>
Computed, not measured: crystalline HfThCu2 at its relaxed geometry at the PBE-GGA level of DFT.

Density = 10.80 Mg/m³
Total magnetic moment = 0.0 μB per formula unit
Space group = R-3m, No. 166

Cell lengths 4.593, 4.593, 5.244 Å; angles 64.03, 64.03, 60.00 degrees
Sites, in units of the cell vectors:
Th1 0.000 0.000 0.000
Cu1 0.782 0.782 0.654
Cu2 0.218 0.218 0.346
Hf1 0.500 0.500 0.500



Best to worst by energy: <one>, <two>.